No. 1
This record from Alexandria via LeMat-Bulk describes a crystal of B3SCl relaxed with PBEsol. The functional is meta-GGA SCAN.

- symmetry = Pm-3m (221)
- energy above the lowest structure with this stoichiometry (meV per atom) = 0.0
- ΔE_f (raw) (meV per atom) = 1964

a b c (Å): 3.905 3.905 3.905
angles (deg): 90.00 90.00 90.00
Fractional positions:
S: 0.000 0.000 0.000
B: 0.000 0.000 0.500
B: 0.500 0.000 0.000
B: 0.000 0.500 0.000
Cl: 0.500 0.500 0.500

No. 2
This record from Alexandria via LeMat-Bulk describes a crystal of SrZnSn relaxed with PBEsol. The functional is meta-GGA SCAN.

- symmetry = P6_3/mmc (194)
- calculated formation energy (eV/atom) = -0.6202

a b c (Å): 4.587 4.587 8.899
angles (deg): 90.00 90.00 120.00
Fractional positions:
Sn: 0.333 0.667 0.750
Sn: 0.667 0.333 0.250
Zn: 0.333 0.667 0.250
Zn: 0.667 0.333 0.750
Sr: 0.000 0.000 0.000
Sr: 0.000 0.000 0.500

No. 3
This record from Alexandria via LeMat-Bulk describes a crystal of AlTcPtCl2 relaxed with PBEsol. The functional is meta-GGA SCAN.

- symmetry = P4/mmm (123)
- ΔE_f (raw) (meV per atom) = 631

a b c (Å): 4.252 4.252 5.645
angles (deg): 90.00 90.00 90.00
Each line ends with the local moment (μB).
Fractional positions:
Al: 0.000 0.000 0.000  -0.03
Cl: 0.500 0.000 0.000  0.02
Cl: 0.000 0.500 0.000  0.02
Tc: 0.000 0.000 0.500  3.23
Pt: 0.500 0.500 0.500  0.23

Number 1: N(E_F) 2.1 states/eV/f.u., calculated volume 11.91 Å³ per atom. Number 2: N(E_F) 0.3 states/eV/f.u., calculated volume 27.03 Å³ per atom. Number 3: N(E_F) 2.4 states/eV/f.u., calculated volume 20.41 Å³ per atom.